Compound: TeW
Source: Alexandria via LeMat-Bulk
Functional: PBE
Structure: relaxed

Values from the calculation:
E (eV per atom): -7.448

The structure in POSCAR format:
```
TeW
1.0
-2.621 9.225 -3.341
-2.609 -8.254 -5.310
-3.155 -0.214 1.883
W Te
6 6
Direct
0.921 0.402 0.250 W
0.079 0.598 0.750 W
0.519 0.921 0.750 W
0.481 0.079 0.250 W
0.598 0.519 0.250 W
0.402 0.481 0.750 W
0.747 0.083 0.250 Te
0.083 0.335 0.750 Te
0.917 0.665 0.250 Te
0.665 0.747 0.750 Te
0.335 0.253 0.250 Te
0.253 0.917 0.750 Te
```